Entry 1:
CuAs2W | PBE | optimized geometry

- SG: No. 122
- Energy of formation from the pure elements: 0.47 eV/atom

Cell: 5.686 5.686 6.785 Å, 65.23 65.23 90.00°
Fractional positions:
As1 0.622 0.125 0.250
As2 0.128 0.625 0.250
As3 0.375 0.378 0.750
As4 0.875 0.872 0.750
Cu1 0.500 0.500 0.000
Cu2 0.250 0.750 0.500
W1 0.000 0.000 0.000
W2 0.750 0.250 0.500


Entry 2:
YThSc4 | PBE | optimized geometry

- SG: No. 51
- Energy of formation from the pure elements: 0.10 eV/atom

Cell: 3.337 9.163 10.739 Å, 90.00 90.00 90.00°
Fractional positions:
Y1 0.000 0.548 0.750
Y2 0.000 0.452 0.250
Th1 0.000 0.197 0.750
Th2 0.000 0.803 0.250
Sc1 0.000 0.000 0.500
Sc2 0.000 0.000 0.000
Sc3 0.500 0.874 0.750
Sc4 0.500 0.126 0.250
Sc5 0.500 0.680 0.002
Sc6 0.500 0.320 0.998
Sc7 0.500 0.680 0.498
Sc8 0.500 0.320 0.502


Entry 3:
TlNi2Cl | PBE | optimized geometry

- Energy relative to the elements, uncorrected: 0.368 eV/atom
- SG: No. 123

Cell: 3.302 3.302 6.220 Å, 90.00 90.00 90.00°
Fractional positions:
Cl1 0.500 0.500 0.750
Ni1 0.000 0.000 0.034
Ni2 0.000 0.000 0.466
Tl1 0.500 0.500 0.250


Entry 4:
Sm8Ga2Ni | PBE | optimized geometry

- SG: No. 71
- Energy of formation from the pure elements: -0.14 eV/atom

Cell: 4.925 8.661 8.691 Å, 119.89 106.46 90.00°
Fractional positions:
Sm1 0.659 0.880 0.318
Sm2 0.341 0.561 0.682
Sm3 0.126 0.126 0.251
Sm4 0.000 0.328 0.000
Sm5 0.874 0.874 0.749
Sm6 0.659 0.439 0.318
Sm7 0.341 0.120 0.682
Sm8 0.000 0.672 0.000
Ga1 0.197 0.697 0.394
Ga2 0.803 0.303 0.606
Ni1 0.500 0.000 0.000


Number 1: E_tot -6.12 eV per atom, energy relative to the lowest polymorph listed for this composition 32.3 kJ/mol of atoms, N(E_F) 6.6 states/eV/cell. Number 2: E_tot -6.43 eV per atom, energy relative to the lowest polymorph listed for this composition 6.8 kJ/mol of atoms, N(E_F) 21.0 states/eV/cell. Number 3: E_tot -3.58 eV per atom, energy relative to the lowest polymorph listed for this composition 28.3 kJ/mol of atoms, N(E_F) 1.4 states/eV/cell. Number 4: E_tot -4.64 eV per atom, energy relative to the lowest polymorph listed for this composition 10.8 kJ/mol of atoms, N(E_F) 12.9 states/eV/cell.